# 1
The following is a meta-GGA SCAN calculation of a crystal of CuB3H relaxed with PBEsol, from the Alexandria database.

Calculated values
E_tot (eV/atom): -6.305

The structure in CIF format:
```
data_CuB3H
_space_group_name_H-M_alt 'P m -3 m'
_space_group_IT_number 221
_space_group_name_Hall '-P 4 2 3'
_cell_length_a 3.7490
_cell_length_b 3.7490
_cell_length_c 3.7490
_cell_angle_alpha 90.00
_cell_angle_beta 90.00
_cell_angle_gamma 90.00
loop_
_atom_site_label
_atom_site_type_symbol
_atom_site_fract_x
_atom_site_fract_y
_atom_site_fract_z
Cu1 Cu 0.0000 0.0000 0.0000
B1 B 0.0000 0.0000 0.5000
H1 H 0.5000 0.5000 0.5000
```

# 2
The following is a meta-GGA SCAN calculation of a crystal of Cs2RbNa2 relaxed with PBEsol, from the Alexandria database.

Calculated values
E_tot (eV/atom): -20.912
Formation energy (meV/atom): 46

The structure in CIF format:
```
data_Cs2RbNa2
_space_group_name_H-M_alt 'P 4/m b m'
_space_group_IT_number 127
_space_group_name_Hall '-P 4 2ab'
_cell_length_a 12.1929
_cell_length_b 12.1929
_cell_length_c 4.6970
_cell_angle_alpha 90.00
_cell_angle_beta 90.00
_cell_angle_gamma 90.00
loop_
_atom_site_label
_atom_site_type_symbol
_atom_site_fract_x
_atom_site_fract_y
_atom_site_fract_z
Cs1 Cs 0.1364 0.3636 0.0000
Rb1 Rb 0.0000 0.0000 0.0000
Na1 Na 0.1622 0.6622 0.5000
```

# 3
The following is a meta-GGA SCAN calculation of a crystal of LiRuSeBr2 relaxed with PBEsol, from the Alexandria database.

Calculated values
ΔE_f (raw) (eV/atom): 0.44
E_tot (eV/atom): -18.799

The structure in CIF format:
```
data_LiRuSeBr2
_space_group_name_H-M_alt 'P 4/m m m'
_space_group_IT_number 123
_space_group_name_Hall '-P 4 2'
_cell_length_a 4.6590
_cell_length_b 4.6590
_cell_length_c 4.7989
_cell_angle_alpha 90.00
_cell_angle_beta 90.00
_cell_angle_gamma 90.00
loop_
_atom_site_label
_atom_site_type_symbol
_atom_site_fract_x
_atom_site_fract_y
_atom_site_fract_z
Li1 Li 0.0000 0.0000 0.0000
Ru1 Ru 0.5000 0.5000 0.5000
Se1 Se 0.0000 0.0000 0.5000
Br1 Br 0.0000 0.5000 0.0000
```

# 4
The following is a meta-GGA SCAN calculation of a crystal of InRh2Se relaxed with PBEsol, from the Alexandria database.

Calculated values
ΔE_f (raw) (eV/atom): -0.08
E_tot (eV/atom): -30.336

The structure in CIF format:
```
data_InRh2Se
_space_group_name_H-M_alt 'P 4/m m m'
_space_group_IT_number 123
_space_group_name_Hall '-P 4 2'
_cell_length_a 4.5312
_cell_length_b 4.5312
_cell_length_c 3.0794
_cell_angle_alpha 90.00
_cell_angle_beta 90.00
_cell_angle_gamma 90.00
loop_
_atom_site_label
_atom_site_type_symbol
_atom_site_fract_x
_atom_site_fract_y
_atom_site_fract_z
In1 In 0.0000 0.0000 0.0000
Rh1 Rh 0.0000 0.5000 0.5000
Se1 Se 0.5000 0.5000 0.0000
```

# 5
The following is a meta-GGA SCAN calculation of a crystal of TlCrI2Br relaxed with PBEsol, from the Alexandria database.

Calculated values
ΔE_f (raw) (eV/atom): -0.67
E_tot (eV/atom): -37.408

The structure in CIF format:
```
data_TlCrI2Br
_space_group_name_H-M_alt 'P 4/m m m'
_space_group_IT_number 123
_space_group_name_Hall '-P 4 2'
_cell_length_a 5.5614
_cell_length_b 5.5614
_cell_length_c 5.0480
_cell_angle_alpha 90.00
_cell_angle_beta 90.00
_cell_angle_gamma 90.00
loop_
_atom_site_label
_atom_site_type_symbol
_atom_site_fract_x
_atom_site_fract_y
_atom_site_fract_z
Tl1 Tl 0.0000 0.0000 0.0000
Cr1 Cr 0.5000 0.5000 0.5000
I1 I 0.0000 0.5000 0.5000
Br1 Br 0.5000 0.5000 0.0000
```

# 6
The following is a meta-GGA SCAN calculation of a crystal of MgTaAu relaxed with PBEsol, from the Alexandria database.

Calculated values
E_tot (eV/atom): -46.951
Formation energy (meV/atom): -46

The structure in CIF format:
```
data_MgTaAu
_space_group_name_H-M_alt 'F -4 3 m'
_space_group_IT_number 216
_space_group_name_Hall 'F -4 2 3'
_cell_length_a 6.2009
_cell_length_b 6.2009
_cell_length_c 6.2009
_cell_angle_alpha 90.00
_cell_angle_beta 90.00
_cell_angle_gamma 90.00
loop_
_atom_site_label
_atom_site_type_symbol
_atom_site_fract_x
_atom_site_fract_y
_atom_site_fract_z
Mg1 Mg 0.0000 0.0000 0.0000
Ta1 Ta 0.0000 0.0000 0.5000
Au1 Au 0.2500 0.2500 0.7500
```

# 7
The following is a meta-GGA SCAN calculation of a crystal of Ta3Tc relaxed with PBEsol, from the Alexandria database.

Calculated values
E_tot (eV/atom): -58.987
Formation energy (meV/atom): -284

The structure in CIF format:
```
data_Ta3Tc
_space_group_name_H-M_alt 'P 4/m m m'
_space_group_IT_number 123
_space_group_name_Hall '-P 4 2'
_cell_length_a 4.5431
_cell_length_b 4.5431
_cell_length_c 3.2014
_cell_angle_alpha 90.00
_cell_angle_beta 90.00
_cell_angle_gamma 90.00
loop_
_atom_site_label
_atom_site_type_symbol
_atom_site_fract_x
_atom_site_fract_y
_atom_site_fract_z
Ta1 Ta 0.0000 0.0000 0.0000
Ta2 Ta 0.0000 0.5000 0.5000
Tc1 Tc 0.5000 0.5000 0.0000
```

# 8
The following is a meta-GGA SCAN calculation of a crystal of CrIn2OsSe relaxed with PBEsol, from the Alexandria database.

Calculated values
ΔE_f (raw) (eV/atom): 1.39
E_tot (eV/atom): -34.036

The structure in CIF format:
```
data_CrIn2OsSe
_space_group_name_H-M_alt 'P 4/m m m'
_space_group_IT_number 123
_space_group_name_Hall '-P 4 2'
_cell_length_a 5.0795
_cell_length_b 5.0795
_cell_length_c 4.4142
_cell_angle_alpha 90.00
_cell_angle_beta 90.00
_cell_angle_gamma 90.00
loop_
_atom_site_label
_atom_site_type_symbol
_atom_site_fract_x
_atom_site_fract_y
_atom_site_fract_z
Cr1 Cr 0.0000 0.0000 0.0000
In1 In 0.0000 0.5000 0.5000
Os1 Os 0.5000 0.5000 0.0000
Se1 Se 0.0000 0.0000 0.5000
```

# 9
The following is a meta-GGA SCAN calculation of a crystal of Mn5Cr3O16 relaxed with PBEsol, from the Alexandria database.

Calculated values
ΔE_f (raw) (eV/atom): -2.09
E_tot (eV/atom): -12.345

The structure in CIF format:
```
data_Mn5Cr3O16
_space_group_name_H-M_alt 'C 1 m 1'
_space_group_IT_number 8
_cell_length_a 9.8328
_cell_length_b 5.6448
_cell_length_c 8.6431
_cell_angle_alpha 90.00
_cell_angle_beta 90.30
_cell_angle_gamma 90.00
loop_
_space_group_symop_operation_xyz
'x,y,z'
'x,-y,z'
'x+1/2,y+1/2,z'
'x+1/2,-y+1/2,z'
loop_
_atom_site_label
_atom_site_type_symbol
_atom_site_fract_x
_atom_site_fract_y
_atom_site_fract_z
Mn1 Mn 0.0000 0.0000 0.0000
Mn2 Mn 0.0039 0.5000 0.7694
Mn3 Mn 0.1656 0.5000 0.5007
Mn4 Mn 0.4189 0.2518 0.2703
Cr1 Cr 0.1698 0.0000 0.2822
Cr2 Cr 0.2523 0.2463 0.7779
O1 O 0.0001 0.5000 0.3829
O2 O 0.0724 0.2175 0.1427
O3 O 0.0934 0.2801 0.6405
O4 O 0.1618 0.0000 0.8782
O5 O 0.1658 0.5000 0.8842
O6 O 0.2474 0.2530 0.3782
O7 O 0.3078 0.5000 0.6441
O8 O 0.3359 0.0000 0.1637
O9 O 0.3364 0.0000 0.6628
O10 O 0.3534 0.5000 0.1398
O11 O 0.4187 0.2532 0.8802
O12 O 0.4961 0.5000 0.3851
```

# 10
The following is a meta-GGA SCAN calculation of a crystal of Mn2In2As relaxed with PBEsol, from the Alexandria database.

Calculated values
E_tot (eV/atom): -24.118
Formation energy (meV/atom): 577

The structure in CIF format:
```
data_Mn2In2As
_space_group_name_H-M_alt 'I 4/m m m'
_space_group_IT_number 139
_space_group_name_Hall '-I 4 2'
_cell_length_a 3.2086
_cell_length_b 3.2086
_cell_length_c 16.8804
_cell_angle_alpha 90.00
_cell_angle_beta 90.00
_cell_angle_gamma 90.00
loop_
_atom_site_label
_atom_site_type_symbol
_atom_site_fract_x
_atom_site_fract_y
_atom_site_fract_z
Mn1 Mn 0.0000 0.5000 0.2500
In1 In 0.0000 0.0000 0.1168
As1 As 0.0000 0.0000 0.5000
```

# 11
The following is a meta-GGA SCAN calculation of a crystal of Li2AlCd relaxed with PBEsol, from the Alexandria database.

Calculated values
E_tot (eV/atom): -10.919
Formation energy (meV/atom): -182

The structure in CIF format:
```
data_Li2AlCd
_space_group_name_H-M_alt 'I m m 2'
_space_group_IT_number 44
_cell_length_a 3.2970
_cell_length_b 4.5199
_cell_length_c 8.7394
_cell_angle_alpha 90.00
_cell_angle_beta 90.00
_cell_angle_gamma 90.00
loop_
_space_group_symop_operation_xyz
'x,y,z'
'-x,-y,z'
'-x,y,z'
'x,-y,z'
'x+1/2,y+1/2,z+1/2'
'-x+1/2,-y+1/2,z+1/2'
'-x+1/2,y+1/2,z+1/2'
'x+1/2,-y+1/2,z+1/2'
loop_
_atom_site_label
_atom_site_type_symbol
_atom_site_fract_x
_atom_site_fract_y
_atom_site_fract_z
Li1 Li 0.0000 0.0000 0.0000
Li2 Li 0.0000 0.5000 0.2556
Al1 Al 0.0000 0.5000 0.7469
Cd1 Cd 0.0000 0.0000 0.5085
```

# 12
The following is a meta-GGA SCAN calculation of a crystal of Ag2PIrN relaxed with PBEsol, from the Alexandria database.

Calculated values
ΔE_f (raw) (eV/atom): 1.08
E_tot (eV/atom): -29.628

The structure in CIF format:
```
data_Ag2PIrN
_space_group_name_H-M_alt 'P 4/m m m'
_space_group_IT_number 123
_space_group_name_Hall '-P 4 2'
_cell_length_a 4.8223
_cell_length_b 4.8223
_cell_length_c 3.1800
_cell_angle_alpha 90.00
_cell_angle_beta 90.00
_cell_angle_gamma 90.00
loop_
_atom_site_label
_atom_site_type_symbol
_atom_site_fract_x
_atom_site_fract_y
_atom_site_fract_z
Ag1 Ag 0.0000 0.5000 0.0000
P1 P 0.0000 0.0000 0.0000
Ir1 Ir 0.5000 0.5000 0.5000
N1 N 0.0000 0.0000 0.5000
```

Copy entry 12 word for word.
The following is a meta-GGA SCAN calculation of a crystal of Ag2PIrN relaxed with PBEsol, from the Alexandria database.

Calculated values
ΔE_f (raw) (eV/atom): 1.08
E_tot (eV/atom): -29.628

The structure in CIF format:
```
data_Ag2PIrN
_space_group_name_H-M_alt 'P 4/m m m'
_space_group_IT_number 123
_space_group_name_Hall '-P 4 2'
_cell_length_a 4.8223
_cell_length_b 4.8223
_cell_length_c 3.1800
_cell_angle_alpha 90.00
_cell_angle_beta 90.00
_cell_angle_gamma 90.00
loop_
_atom_site_label
_atom_site_type_symbol
_atom_site_fract_x
_atom_site_fract_y
_atom_site_fract_z
Ag1 Ag 0.0000 0.5000 0.0000
P1 P 0.0000 0.0000 0.0000
Ir1 Ir 0.5000 0.5000 0.5000
N1 N 0.0000 0.0000 0.5000
```

> Which value of E_tot does entry 2 give?

-20.912 eV/atom

> Number 2 is which compound?

Cs2RbNa2

> The lowest E_tot belongs to which entry?

Ta3Tc